# 1
Entry from Alexandria via LeMat-Bulk: a relaxed TiIn4Pd7 crystal (PBE).

```
TiIn4Pd7
1.0
-0.103 -4.790 0.575
7.734 -3.005 -3.393
2.669 -1.896 4.934
Ti In Pd
1 4 7
Direct
0.000 0.000 0.000
0.590 0.229 0.590
0.410 0.771 0.410
0.755 0.669 0.822
0.245 0.331 0.178
0.791 0.920 0.498
0.209 0.080 0.502
0.076 0.705 0.144
0.924 0.295 0.856
0.362 0.520 0.755
0.500 0.000 0.000
0.638 0.480 0.245
```

The calculated total energy is -59.2 eV per formula unit. The density is 9.259 Mg/m³. For the total magnetic moment, the calculation gives 0.3 μB per formula unit. As for the formation energy: -31.9 kJ per mole of atoms.

---

# 2
Entry from Alexandria via LeMat-Bulk: a relaxed TiIn2Pd2 crystal (PBE).

```
TiIn2Pd2
1.0
4.563 0.000 -0.370
0.000 4.506 0.000
0.764 0.000 9.438
Ti In Pd
2 4 4
Direct
0.250 0.750 0.832
0.750 0.250 0.168
0.250 0.750 0.504
0.750 0.250 0.828
0.750 0.250 0.496
0.250 0.750 0.172
0.250 0.250 0.003
0.750 0.750 0.322
0.250 0.250 0.678
0.750 0.750 0.997
```

The calculated total energy is -25.9 eV per formula unit. The density is 8.338 Mg/m³. For the total magnetic moment, the calculation gives 0.0 μB per formula unit. As for the formation energy: -42.2 kJ per mole of atoms. The energy above the most stable polymorph in this dataset is 0 meV/atom.

---

# 3
Entry from Alexandria via LeMat-Bulk: a relaxed TiIn2Pd crystal (PBE).

```
TiIn2Pd
1.0
-7.473 0.062 -1.116
0.836 -4.693 -5.863
-3.604 -4.598 -1.704
Ti Pd In
2 2 4
Direct
0.500 0.500 0.000
0.250 0.750 0.500
0.000 0.000 0.000
0.750 0.250 0.500
0.645 0.125 0.250
0.105 0.625 0.250
0.375 0.355 0.750
0.875 0.895 0.750
```

The calculated total energy is -18.6 eV per formula unit. The density is 7.667 Mg/m³. For the total magnetic moment, the calculation gives 0.0 μB per formula unit. As for the formation energy: 0.1 kJ per mole of atoms.

---

# 4
Entry from Alexandria via LeMat-Bulk: a relaxed TiIn3Pd12 crystal (PBE).

```
TiIn3Pd12
1.0
4.006 0.000 0.000
0.000 4.006 0.000
0.000 0.000 16.093
Ti In Pd
1 3 12
Direct
0.000 0.000 0.000
0.000 0.000 0.248
0.000 0.000 0.500
0.000 0.000 0.752
0.500 0.500 0.000
0.500 0.500 0.244
0.500 0.500 0.500
0.500 0.500 0.756
0.500 0.000 0.117
0.500 0.000 0.373
0.500 0.000 0.627
0.500 0.000 0.883
0.000 0.500 0.117
0.000 0.500 0.373
0.000 0.500 0.627
0.000 0.500 0.883
```

The calculated total energy is -86.4 eV per formula unit. The density is 10.735 Mg/m³. For the total magnetic moment, the calculation gives 0.0 μB per formula unit. As for the formation energy: -48.0 kJ per mole of atoms.

---

# 5
Entry from Alexandria via LeMat-Bulk: a relaxed Ti2In3Pd crystal (PBE).

```
Ti2In3Pd
1.0
-4.356 -1.350 -3.015
-2.996 -1.199 4.865
-0.159 7.611 1.778
Ti In Pd
4 6 2
Direct
0.847 0.000 0.695
0.153 0.500 0.305
0.153 0.000 0.305
0.847 0.500 0.695
0.694 0.250 0.345
0.306 0.750 0.655
0.349 0.250 0.655
0.651 0.750 0.345
0.260 0.250 0.000
0.740 0.750 0.000
0.770 0.250 0.000
0.230 0.750 0.000
```

The calculated total energy is -30.3 eV per formula unit. The density is 7.767 Mg/m³. For the total magnetic moment, the calculation gives 0.0 μB per formula unit. As for the formation energy: -17.9 kJ per mole of atoms.

---

# 6
Entry from Alexandria via LeMat-Bulk: a relaxed Ti3InPd4 crystal (PBE).

```
Ti3InPd4
1.0
4.807 0.000 0.000
0.000 5.818 0.000
0.000 0.000 9.316
In Pd Ti
2 8 6
Direct
0.000 0.500 0.000
0.000 0.500 0.500
0.500 0.758 0.000
0.500 0.758 0.500
0.500 0.242 0.000
0.500 0.242 0.500
0.111 0.759 0.750
0.889 0.759 0.250
0.889 0.241 0.250
0.111 0.241 0.750
0.000 0.000 0.000
0.000 0.000 0.500
0.597 0.000 0.750
0.403 0.000 0.250
0.586 0.500 0.750
0.414 0.500 0.250
```

The calculated total energy is -51.3 eV per formula unit. The density is 8.718 Mg/m³. For the total magnetic moment, the calculation gives 1.5 μB per formula unit. As for the formation energy: -49.2 kJ per mole of atoms. The energy above the most stable polymorph in this dataset is 0 meV/atom.

---

# 7
Entry from Alexandria via LeMat-Bulk: a relaxed TiIn2Pd2 crystal (PBE).

```
TiIn2Pd2
1.0
-4.312 5.380 -3.168
-5.155 -0.896 5.496
1.501 2.248 1.774
Ti Pd In
2 4 4
Direct
0.000 0.000 0.000
0.500 0.500 0.000
0.364 0.864 0.000
0.864 0.636 0.000
0.636 0.136 0.000
0.136 0.364 0.000
0.163 0.663 0.500
0.663 0.837 0.500
0.837 0.337 0.500
0.337 0.163 0.500
```

The calculated total energy is -25.3 eV per formula unit. The density is 8.748 Mg/m³. For the total magnetic moment, the calculation gives 1.4 μB per formula unit. As for the formation energy: -29.8 kJ per mole of atoms. The energy above the most stable polymorph in this dataset is 128 meV/atom.

---

# 8
Entry from Alexandria via LeMat-Bulk: a relaxed Ti3InPd7 crystal (PBE).

```
Ti3InPd7
1.0
-1.239 -0.025 4.959
6.741 -0.631 -1.742
0.279 6.144 -3.323
Ti In Pd
3 1 7
Direct
0.000 0.770 0.230
0.500 0.000 0.000
0.000 0.230 0.770
0.500 0.500 0.500
0.280 0.175 0.175
0.333 0.050 0.596
0.667 0.404 0.950
0.333 0.596 0.050
0.000 0.500 0.500
0.667 0.950 0.404
0.720 0.825 0.825
```

The calculated total energy is -66.5 eV per formula unit. The density is 8.776 Mg/m³. For the total magnetic moment, the calculation gives 0.0 μB per formula unit. As for the formation energy: -32.7 kJ per mole of atoms.

---

# 9
Entry from Alexandria via LeMat-Bulk: a relaxed Ti5InPd8 crystal (PBE).

```
Ti5InPd8
1.0
-1.122 -0.353 6.634
-3.093 -5.140 -3.068
6.621 -0.338 -1.199
Ti In Pd
5 1 8
Direct
0.047 0.355 0.123
0.877 0.924 0.232
0.768 0.645 0.691
0.500 0.000 0.500
0.309 0.076 0.953
0.250 0.500 0.750
0.132 0.744 0.077
0.923 0.056 0.667
0.741 0.265 0.340
0.660 0.402 0.926
0.524 0.598 0.259
0.611 0.944 0.868
0.333 0.256 0.389
0.074 0.735 0.476
```

The calculated total energy is -89.5 eV per formula unit. The density is 8.503 Mg/m³. For the total magnetic moment, the calculation gives 0.0 μB per formula unit. As for the formation energy: -39.6 kJ per mole of atoms.

---

# 10
Entry from Alexandria via LeMat-Bulk: a relaxed TiInPd14 crystal (PBE).

```
TiInPd14
1.0
5.673 -0.012 0.000
0.012 5.673 0.000
0.000 0.000 7.768
Ti In Pd
1 1 14
Direct
0.875 0.875 0.500
0.375 0.375 0.500
0.875 0.875 0.000
0.375 0.375 0.000
0.875 0.375 0.500
0.875 0.375 0.000
0.375 0.875 0.500
0.375 0.875 0.000
0.630 0.120 0.253
0.630 0.120 0.747
0.120 0.630 0.253
0.120 0.630 0.747
0.630 0.630 0.253
0.630 0.630 0.747
0.120 0.120 0.253
0.120 0.120 0.747
```

The calculated total energy is -87.6 eV per formula unit. The density is 10.977 Mg/m³. For the total magnetic moment, the calculation gives 0.0 μB per formula unit. As for the formation energy: -26.0 kJ per mole of atoms.

---

# 11
Entry from Alexandria via LeMat-Bulk: a relaxed Ti3In2Pd4 crystal (PBE).

```
Ti3In2Pd4
1.0
-0.937 -1.725 4.062
3.106 0.098 3.263
-2.960 7.649 2.564
Ti In Pd
3 2 4
Direct
0.333 0.333 0.428
0.000 0.000 0.000
0.667 0.667 0.572
0.333 0.333 0.772
0.667 0.667 0.228
0.667 0.666 0.908
0.000 0.000 0.341
0.000 0.000 0.659
0.333 0.334 0.092
```

The calculated total energy is -54.5 eV per formula unit. The density is 8.773 Mg/m³. For the total magnetic moment, the calculation gives 0.8 μB per formula unit. As for the formation energy: -48.8 kJ per mole of atoms.

---

# 12
Entry from Alexandria via LeMat-Bulk: a relaxed Ti2InPd5 crystal (PBE).

```
Ti2InPd5
1.0
-2.987 -2.703 -0.463
2.011 -1.349 -5.100
6.470 -7.946 4.654
Ti In Pd
4 2 10
Direct
0.500 0.300 0.359
0.500 0.700 0.641
0.500 0.200 0.859
0.500 0.800 0.141
0.000 0.000 0.500
0.000 0.500 0.000
0.500 0.280 0.122
0.500 0.720 0.878
0.500 0.780 0.378
0.500 0.220 0.622
0.000 0.961 0.751
0.000 0.039 0.249
0.000 0.461 0.749
0.000 0.539 0.251
0.000 0.500 0.500
0.000 0.000 0.000
```

The calculated total energy is -48.4 eV per formula unit. The density is 9.572 Mg/m³. For the total magnetic moment, the calculation gives 1.9 μB per formula unit. As for the formation energy: -46.9 kJ per mole of atoms.